[1]
Compound: AcDyCd
Source: the Alexandria database
Functional: PBE
Structure: optimized geometry

Properties
E_tot = -40.3 eV per cell
ΔH_f (0 K) = -0.46 eV/f.u.
Symmetry = Pnma (62)

```
AcDyCd
1.0
5.160 0.000 0.000
0.000 9.178 0.000
0.000 0.000 8.512
Dy Ac Cd
4 4 4
Cartesian
3.870 8.547 5.469 Dy
3.870 5.220 1.213 Dy
1.290 3.958 7.299 Dy
1.290 0.631 3.043 Dy
3.870 3.023 4.447 Ac
1.290 6.155 4.065 Ac
3.870 1.566 0.191 Ac
1.290 7.612 8.321 Ac
3.870 8.106 2.382 Cd
1.290 3.517 1.874 Cd
3.870 5.661 6.638 Cd
1.290 1.072 6.130 Cd
```

[2]
Compound: Er2AlIr3
Source: the Alexandria database
Functional: PBE
Structure: optimized geometry

Properties
E_tot = -41.9 eV per cell
ΔH_f (0 K) = -2.45 eV/f.u.
Symmetry = Immm (71)

```
Er2AlIr3
1.0
-0.268 -1.099 4.340
1.673 -4.992 -1.161
3.909 4.443 -0.951
Ir Er Al
3 2 1
Cartesian
0.000 0.000 0.000 Ir
1.941 -2.671 1.761 Ir
3.373 1.022 0.467 Ir
1.558 -0.037 2.404 Er
3.756 -1.612 -0.176 Er
0.836 -2.496 -0.581 Al
```

[3]
Compound: TbPm5Se6
Source: the Alexandria database
Functional: PBE
Structure: optimized geometry

Properties
E_tot = -71.2 eV per cell
Symmetry = C2/m (12)

```
TbPm5Se6
1.0
7.222 0.209 0.000
2.233 6.887 0.000
1.116 3.444 6.285
Tb Pm Se
1 5 6
Cartesian
0.000 0.000 0.000 Tb
4.727 3.548 0.000 Pm
5.844 6.992 2.143 Pm
2.233 6.887 4.180 Pm
4.727 3.548 4.142 Pm
1.116 3.444 2.105 Pm
7.112 5.359 0.000 Se
7.110 5.293 4.230 Se
4.577 8.690 4.230 Se
2.342 1.737 0.000 Se
5.994 1.849 2.055 Se
3.461 5.247 2.055 Se
```

[4]
Compound: AcLa3Tb8
Source: the Alexandria database
Functional: PBE
Structure: optimized geometry

Properties
E_tot = -52.7 eV per cell
ΔH_f (0 K) = 3.28 eV/f.u.
Symmetry = Immm (71)

```
AcLa3Tb8
1.0
7.246 0.682 -5.153
-2.930 8.304 -1.406
-1.865 -0.682 8.694
Tb La Ac
8 3 1
Cartesian
4.542 6.680 -3.997 Tb
-2.819 7.321 4.284 Tb
0.010 5.997 2.940 Tb
-0.429 3.523 0.652 Tb
2.880 4.782 1.482 Tb
-2.091 1.625 6.133 Tb
2.442 2.306 -0.807 Tb
5.270 0.983 -2.149 Tb
0.979 6.367 -1.488 La
-2.397 3.811 3.644 La
1.472 1.937 3.623 La
5.382 0.000 3.541 Ac
```

[5]
Compound: Er14MgSc
Source: the Alexandria database
Functional: PBE
Structure: optimized geometry

Properties
E_tot = -71.0 eV per cell
ΔH_f (0 K) = 0.78 eV/f.u.
Symmetry = Amm2 (38)

```
Er14MgSc
1.0
-3.701 0.177 -5.671
3.582 -5.723 -0.555
-7.842 -5.388 4.949
Sc Mg Er
1 1 14
Cartesian
0.792 -3.463 -2.515 Sc
-3.189 -0.238 -5.312 Mg
-1.151 -0.708 -2.594 Er
-6.256 -3.624 -2.237 Er
-1.034 -3.228 0.533 Er
-6.474 -6.148 0.016 Er
-5.040 -5.980 3.060 Er
-3.028 -6.239 0.031 Er
-4.712 -6.560 -2.986 Er
0.665 -5.993 -0.259 Er
-4.641 -3.247 0.732 Er
-5.108 -9.179 -0.531 Er
-1.103 -6.428 -3.059 Er
-1.201 -3.030 -5.201 Er
-3.661 -8.964 2.471 Er
-2.866 -3.669 -2.261 Er
```

[6]
Compound: DyTiTl2
Source: the Alexandria database
Functional: PBE
Structure: optimized geometry

Properties
E_tot = -17.4 eV per cell
ΔH_f (0 K) = -0.19 eV/f.u.
Symmetry = P4/mmm (123)

```
DyTiTl2
1.0
4.417 0.000 0.000
0.000 4.651 0.000
0.000 0.000 4.651
Ti Dy Tl
1 1 2
Cartesian
2.209 0.000 0.000 Ti
2.209 2.326 2.326 Dy
0.000 2.326 0.000 Tl
0.000 0.000 2.326 Tl
```

[7]
Compound: Ta2CdHg
Source: the Alexandria database
Functional: PBE
Structure: optimized geometry

Properties
E_tot = -22.7 eV per cell
ΔH_f (0 K) = 2.27 eV/f.u.
Symmetry = P4/mmm (123)

```
Ta2CdHg
1.0
3.635 0.000 0.000
0.000 3.635 0.000
0.000 0.000 5.839
Ta Hg Cd
2 1 1
Cartesian
0.000 0.000 2.970 Ta
0.000 0.000 5.788 Ta
1.818 1.818 4.379 Hg
1.818 1.818 1.460 Cd
```